(1)
Below is an optimized crystal structure of Cs3WCl8, with properties calculated at the GGA-PBE level.

Lattice parameters (Å, degrees): 10.302 10.302 9.540 90.00 90.00 120.00
Element x y z (fractional)
Cs 0.154 0.307 0.000
Cs 0.154 0.846 0.000
Cs 0.307 0.154 0.500
Cs 0.693 0.846 0.000
Cs 0.846 0.154 0.500
Cs 0.846 0.693 0.500
W 0.333 0.667 0.454
W 0.667 0.333 0.954
Cl 0.000 0.000 0.256
Cl 0.000 0.000 0.756
Cl 0.118 0.559 0.313
Cl 0.226 0.452 0.598
Cl 0.226 0.774 0.598
Cl 0.333 0.667 0.951
Cl 0.441 0.559 0.313
Cl 0.441 0.882 0.313
Cl 0.452 0.226 0.098
Cl 0.548 0.774 0.598
Cl 0.559 0.118 0.813
Cl 0.559 0.441 0.813
Cl 0.667 0.333 0.451
Cl 0.774 0.226 0.098
Cl 0.774 0.548 0.098
Cl 0.882 0.441 0.813

Output
ΔE_f (raw)	-1.411	eV/atom
spin magnetization	1.00	μB per formula unit
Fermi-level density of states	0.652	states/eV per atom


(2)
Below is an optimized crystal structure of Cs3WCl, with properties calculated at the GGA-PBE level.

Lattice parameters (Å, degrees): 6.667 6.667 6.667 90.00 90.00 90.00
Element x y z (fractional)
Cs 0.000 0.000 0.500
Cs 0.000 0.500 0.000
Cs 0.500 0.000 0.000
W 0.500 0.500 0.500
Cl 0.000 0.000 0.000

Output
ΔE_f (raw)	0.486	eV/atom
spin magnetization	5.96	μB per formula unit
distance to the lowest polymorph of the same formula	0	meV per atom
Fermi-level density of states	0.433	states/eV per atom


(3)
Below is an optimized crystal structure of CsW3Cl9, with properties calculated at the GGA-PBE level.

Lattice parameters (Å, degrees): 9.878 9.878 8.781 90.00 90.00 120.00
Element x y z (fractional)
Cs 0.333 0.667 0.000
Cs 0.667 0.333 0.000
W 0.000 0.175 0.380
W 0.000 0.825 0.620
W 0.175 0.000 0.380
W 0.175 0.175 0.620
W 0.825 0.000 0.620
W 0.825 0.825 0.380
Cl 0.000 0.193 0.805
Cl 0.000 0.807 0.195
Cl 0.001 0.623 0.792
Cl 0.193 0.000 0.805
Cl 0.193 0.193 0.195
Cl 0.203 0.407 0.500
Cl 0.204 0.797 0.500
Cl 0.377 0.378 0.792
Cl 0.378 0.001 0.208
Cl 0.407 0.204 0.500
Cl 0.593 0.796 0.500
Cl 0.622 0.999 0.792
Cl 0.623 0.622 0.208
Cl 0.796 0.203 0.500
Cl 0.797 0.593 0.500
Cl 0.807 0.000 0.195
Cl 0.807 0.807 0.805
Cl 0.999 0.377 0.208

Output
ΔE_f (raw)	-0.975	eV/atom
spin magnetization	1.23	μB per formula unit
Fermi-level density of states	0.402	states/eV per atom


(4)
Below is an optimized crystal structure of CsW3Cl7, with properties calculated at the GGA-PBE level.

Lattice parameters (Å, degrees): 10.018 10.018 15.658 90.00 90.00 120.00
Element x y z (fractional)
Cs 0.000 0.000 0.000
Cs 0.000 0.000 0.500
Cs 0.333 0.667 0.221
Cs 0.667 0.333 0.721
W 0.178 0.660 0.678
W 0.183 0.512 0.814
W 0.329 0.817 0.814
W 0.340 0.518 0.678
W 0.482 0.822 0.678
W 0.488 0.671 0.814
W 0.512 0.183 0.314
W 0.518 0.340 0.178
W 0.660 0.178 0.178
W 0.671 0.488 0.314
W 0.817 0.329 0.314
W 0.822 0.482 0.178
Cl 0.023 0.332 0.399
Cl 0.035 0.681 0.093
Cl 0.040 0.661 0.813
Cl 0.051 0.369 0.678
Cl 0.308 0.977 0.399
Cl 0.318 0.949 0.678
Cl 0.319 0.354 0.093
Cl 0.332 0.023 0.899
Cl 0.333 0.667 0.550
Cl 0.333 0.667 0.942
Cl 0.339 0.379 0.813
Cl 0.354 0.319 0.593
Cl 0.369 0.051 0.178
Cl 0.379 0.339 0.313
Cl 0.621 0.960 0.813
Cl 0.631 0.682 0.678
Cl 0.646 0.965 0.093
Cl 0.661 0.040 0.313
Cl 0.667 0.333 0.050
Cl 0.667 0.333 0.442
Cl 0.668 0.692 0.399
Cl 0.681 0.035 0.593
Cl 0.682 0.631 0.178
Cl 0.692 0.668 0.899
Cl 0.949 0.318 0.178
Cl 0.960 0.621 0.313
Cl 0.965 0.646 0.593
Cl 0.977 0.308 0.899

Output
ΔE_f (raw)	-0.981	eV/atom
spin magnetization	0.00	μB per formula unit
Fermi-level density of states	0.000	states/eV per atom


(5)
Below is an optimized crystal structure of CsWCl3, with properties calculated at the GGA-PBE level.

Lattice parameters (Å, degrees): 6.119 6.119 6.119 90.00 90.00 90.00
Element x y z (fractional)
Cs 0.000 0.000 0.000
W 0.500 0.500 0.500
Cl 0.000 0.000 0.500
Cl 0.000 0.500 0.000
Cl 0.500 0.000 0.000

Output
ΔE_f (raw)	1.022	eV/atom
spin magnetization	4.00	μB per formula unit
distance to the lowest polymorph of the same formula	1988	meV per atom
Fermi-level density of states	3.947	states/eV per atom


(6)
Below is an optimized crystal structure of Cs6WCl12, with properties calculated at the GGA-PBE level.

Lattice parameters (Å, degrees): 9.719 9.719 9.719 86.49 86.49 86.49
Element x y z (fractional)
Cs 0.018 0.747 0.499
Cs 0.253 0.501 0.982
Cs 0.499 0.018 0.747
Cs 0.501 0.982 0.253
Cs 0.747 0.499 0.018
Cs 0.982 0.253 0.501
W 0.500 0.500 0.500
Cl 0.001 0.511 0.246
Cl 0.246 0.001 0.511
Cl 0.331 0.356 0.589
Cl 0.356 0.589 0.331
Cl 0.411 0.669 0.644
Cl 0.489 0.754 0.999
Cl 0.511 0.246 0.001
Cl 0.589 0.331 0.356
Cl 0.644 0.411 0.669
Cl 0.669 0.644 0.411
Cl 0.754 0.999 0.489
Cl 0.999 0.489 0.754

Output
ΔE_f (raw)	-1.500	eV/atom
spin magnetization	0.69	μB per formula unit


(7)
Below is an optimized crystal structure of CsW3Cl, with properties calculated at the GGA-PBE level.

Lattice parameters (Å, degrees): 4.674 4.674 4.674 90.00 90.00 90.00
Element x y z (fractional)
Cs 0.000 0.000 0.000
W 0.000 0.500 0.500
W 0.500 0.000 0.500
W 0.500 0.500 0.000
Cl 0.500 0.500 0.500

Output
ΔE_f (raw)	2.534	eV/atom
spin magnetization	0.00	μB per formula unit
distance to the lowest polymorph of the same formula	0	meV per atom
Fermi-level density of states	0.860	states/eV per atom


(8)
Below is an optimized crystal structure of Cs2ZnWCl6, with properties calculated at the GGA-PBE level.

Lattice parameters (Å, degrees): 7.904 7.904 7.904 60.00 60.00 60.00
Element x y z (fractional)
Cs 0.250 0.250 0.250
Cs 0.750 0.750 0.750
Zn 0.000 0.000 0.000
W 0.500 0.500 0.500
Cl 0.285 0.285 0.715
Cl 0.285 0.715 0.285
Cl 0.285 0.715 0.715
Cl 0.715 0.285 0.285
Cl 0.715 0.285 0.715
Cl 0.715 0.715 0.285

Output
ΔE_f (raw)	-1.126	eV/atom
spin magnetization	2.00	μB per formula unit
Fermi-level density of states	1.607	states/eV per atom


(9)
Below is an optimized crystal structure of CsZr2WCl, with properties calculated at the GGA-PBE level.

Lattice parameters (Å, degrees): 5.038 5.038 6.942 90.00 90.00 90.00
Element x y z (fractional)
Cs 0.000 0.000 0.000
Zr 0.000 0.500 0.500
Zr 0.500 0.000 0.500
W 0.500 0.500 0.500
Cl 0.500 0.500 0.000

Output
ΔE_f (raw)	0.770	eV/atom
spin magnetization	0.00	μB per formula unit
Fermi-level density of states	0.785	states/eV per atom


(10)
Below is an optimized crystal structure of CsZrW2Cl, with properties calculated at the GGA-PBE level.

Lattice parameters (Å, degrees): 4.637 4.637 5.093 90.00 90.00 90.00
Element x y z (fractional)
Cs 0.000 0.000 0.000
Zr 0.500 0.500 0.000
W 0.000 0.500 0.500
W 0.500 0.000 0.500
Cl 0.500 0.500 0.500

Output
ΔE_f (raw)	1.834	eV/atom
spin magnetization	0.00	μB per formula unit
Fermi-level density of states	0.727	states/eV per atom


(11)
Below is an optimized crystal structure of Cs3YCl, with properties calculated at the GGA-PBE level.

Lattice parameters (Å, degrees): 6.849 6.849 6.849 90.00 90.00 90.00
Element x y z (fractional)
Cs 0.000 0.000 0.500
Cs 0.000 0.500 0.000
Cs 0.500 0.000 0.000
Y 0.500 0.500 0.500
Cl 0.000 0.000 0.000

Output
ΔE_f (raw)	-0.231	eV/atom
spin magnetization	2.68	μB per formula unit
distance to the lowest polymorph of the same formula	0	meV per atom
Fermi-level density of states	1.175	states/eV per atom


(12)
Below is an optimized crystal structure of Cs2YCl2, with properties calculated at the GGA-PBE level.

Lattice parameters (Å, degrees): 10.349 10.349 3.818 90.00 90.00 90.00
Element x y z (fractional)
Cs 0.141 0.359 0.000
Cs 0.359 0.859 0.000
Cs 0.641 0.141 0.000
Cs 0.859 0.641 0.000
Y 0.000 0.000 0.000
Y 0.500 0.500 0.000
Cl 0.150 0.650 0.500
Cl 0.350 0.150 0.500
Cl 0.650 0.850 0.500
Cl 0.850 0.350 0.500

Output
ΔE_f (raw)	-0.763	eV/atom
spin magnetization	1.53	μB per formula unit
distance to the lowest polymorph of the same formula	0	meV per atom
Fermi-level density of states	0.752	states/eV per atom


(13)
Below is an optimized crystal structure of Cs2YCl5, with properties calculated at the GGA-PBE level.

Lattice parameters (Å, degrees): 9.827 7.583 15.500 90.00 90.00 90.00
Element x y z (fractional)
Cs 0.028 0.250 0.212
Cs 0.163 0.750 0.415
Cs 0.337 0.250 0.915
Cs 0.472 0.750 0.712
Cs 0.528 0.250 0.288
Cs 0.663 0.750 0.085
Cs 0.837 0.250 0.585
Cs 0.972 0.750 0.788
Y 0.179 0.750 0.063
Y 0.321 0.250 0.563
Y 0.679 0.750 0.437
Y 0.821 0.250 0.937
Cl 0.000 0.000 0.000
Cl 0.000 0.500 0.000
Cl 0.024 0.750 0.200
Cl 0.166 0.503 0.616
Cl 0.166 0.997 0.616
Cl 0.218 0.250 0.405
Cl 0.282 0.750 0.905
Cl 0.334 0.003 0.116
Cl 0.334 0.497 0.116
Cl 0.476 0.250 0.700
Cl 0.500 0.000 0.500
Cl 0.500 0.500 0.500
Cl 0.524 0.750 0.300
Cl 0.666 0.503 0.884
Cl 0.666 0.997 0.884
Cl 0.718 0.250 0.095
Cl 0.782 0.750 0.595
Cl 0.834 0.003 0.384
Cl 0.834 0.497 0.384
Cl 0.976 0.250 0.800

Output
ΔE_f (raw)	-2.202	eV/atom
spin magnetization	0.00	μB per formula unit
Fermi-level density of states	0.000	states/eV per atom


(14)
Below is an optimized crystal structure of CsY3Cl, with properties calculated at the GGA-PBE level.

Lattice parameters (Å, degrees): 5.535 5.535 5.535 90.00 90.00 90.00
Element x y z (fractional)
Cs 0.000 0.000 0.000
Y 0.000 0.500 0.500
Y 0.500 0.000 0.500
Y 0.500 0.500 0.000
Cl 0.500 0.500 0.500

Output
ΔE_f (raw)	0.087	eV/atom
spin magnetization	0.00	μB per formula unit
distance to the lowest polymorph of the same formula	0	meV per atom
Fermi-level density of states	1.958	states/eV per atom


(15)
Below is an optimized crystal structure of Cs4YCl6, with properties calculated at the GGA-PBE level.

Lattice parameters (Å, degrees): 10.057 10.057 10.386 90.00 90.00 90.00
Element x y z (fractional)
Cs 0.193 0.307 0.250
Cs 0.193 0.307 0.750
Cs 0.307 0.807 0.250
Cs 0.307 0.807 0.750
Cs 0.693 0.193 0.250
Cs 0.693 0.193 0.750
Cs 0.807 0.693 0.250
Cs 0.807 0.693 0.750
Y 0.000 0.000 0.000
Y 0.500 0.500 0.500
Cl 0.000 0.000 0.258
Cl 0.000 0.000 0.742
Cl 0.062 0.741 0.000
Cl 0.241 0.562 0.500
Cl 0.259 0.062 0.000
Cl 0.438 0.241 0.500
Cl 0.500 0.500 0.242
Cl 0.500 0.500 0.758
Cl 0.562 0.759 0.500
Cl 0.741 0.938 0.000
Cl 0.759 0.438 0.500
Cl 0.938 0.259 0.000

Output
ΔE_f (raw)	-1.926	eV/atom
spin magnetization	0.29	μB per formula unit
Fermi-level density of states	0.456	states/eV per atom


(16)
Below is an optimized crystal structure of Cs2YCl2, with properties calculated at the GGA-PBE level.

Lattice parameters (Å, degrees): 8.269 8.269 8.269 135.30 135.30 65.06
Element x y z (fractional)
Cs 0.164 0.164 0.000
Cs 0.836 0.836 0.000
Y 0.500 0.500 0.000
Cl 0.250 0.750 0.500
Cl 0.750 0.250 0.500

Output
ΔE_f (raw)	-0.695	eV/atom
spin magnetization	1.00	μB per formula unit
distance to the lowest polymorph of the same formula	69	meV per atom
Fermi-level density of states	0.000	states/eV per atom


(17)
Below is an optimized crystal structure of Cs5Y2Cl12, with properties calculated at the GGA-PBE level.

Lattice parameters (Å, degrees): 10.046 10.046 9.690 110.60 110.60 69.05
Element x y z (fractional)
Cs 0.000 0.000 0.000
Cs 0.258 0.258 0.465
Cs 0.340 0.340 0.014
Cs 0.660 0.660 0.986
Cs 0.742 0.742 0.535
Y 0.191 0.809 0.500
Y 0.809 0.191 0.500
Cl 0.102 0.102 0.653
Cl 0.118 0.734 0.696
Cl 0.176 0.552 0.309
Cl 0.266 0.882 0.304
Cl 0.440 0.440 0.778
Cl 0.448 0.824 0.691
Cl 0.552 0.176 0.309
Cl 0.560 0.560 0.222
Cl 0.734 0.118 0.696
Cl 0.824 0.448 0.691
Cl 0.882 0.266 0.304
Cl 0.898 0.898 0.347

Output
ΔE_f (raw)	-1.951	eV/atom
spin magnetization	1.05	μB per formula unit
Fermi-level density of states	0.346	states/eV per atom